# 1
Tb3Nd2Te8 | PBE | relaxed

Total moment, μB per atom: 0.000
Density, g/cm3: 6.0
E, eV/atom: -5.022
Volume, A^3/atom: 37.96

Unit cell a=7.5976 b=8.8120 c=8.9387 alpha=119.53 beta=106.12 gamma=90.00
Closest atoms and distances in Å follow each position.
Fractional positions:
1 Tb 0.0000 0.7425 0.0000  6 Te 3.04-3.12
2 Tb 0.0000 0.2575 0.0000  6 Te 3.04-3.12
3 Te 0.9114 0.6190 0.2379  2 Tb 3.04, 1 Nd 3.13
4 Te 0.9133 0.1184 0.2368  3 Tb 3.09-3.12, 1 Nd 3.19
5 Nd 0.6686 0.7484 0.4969  6 Te 3.13-3.21
6 Te 0.0886 0.3810 0.7621  2 Tb 3.04, 1 Nd 3.13
7 Te 0.0867 0.8816 0.7632  3 Tb 3.09-3.12, 1 Nd 3.19
8 Te 0.4113 0.3661 0.2375  2 Tb 3.07-3.08, 2 Nd 3.19-3.21
9 Te 0.4113 0.8714 0.2375  2 Tb 3.07-3.08, 2 Nd 3.19-3.21
10 Tb 0.5000 0.0000 0.0000  6 Te 3.07-3.09
11 Te 0.5887 0.6339 0.7625  2 Tb 3.07-3.08, 2 Nd 3.19-3.21
12 Nd 0.3314 0.2516 0.5031  6 Te 3.13-3.21
13 Te 0.5887 0.1286 0.7625  2 Tb 3.07-3.08, 2 Nd 3.19-3.21


# 2
Tb2Nd3Te8 | PBE | relaxed

Total moment, μB per atom: 0.000
Density, g/cm3: 5.9
E, eV/atom: -5.001
Volume, A^3/atom: 38.56

Unit cell a=7.6569 b=8.8899 c=8.9674 alpha=119.71 beta=106.40 gamma=90.00
Closest atoms and distances in Å follow each position.
Fractional positions:
1 Te 0.9221 0.1245 0.2490  1 Tb 3.12, 3 Nd 3.18-3.19
2 Nd 0.0000 0.7408 0.0000  6 Te 3.12-3.19
3 Te 0.5837 0.1220 0.7489  2 Tb 3.13-3.17, 2 Nd 3.15
4 Nd 0.5000 0.0000 0.0000  6 Te 3.15-3.18
5 Tb 0.6664 0.7496 0.4992  6 Te 3.05-3.17
6 Te 0.4163 0.3732 0.2511  2 Tb 3.14-3.17, 2 Nd 3.15
7 Te 0.1109 0.3813 0.7626  1 Tb 3.05, 2 Nd 3.12
8 Te 0.5837 0.6268 0.7489  2 Tb 3.14-3.17, 2 Nd 3.15
9 Nd 0.0000 0.2592 0.0000  6 Te 3.12-3.19
10 Te 0.0779 0.8755 0.7510  1 Tb 3.12, 3 Nd 3.18-3.19
11 Te 0.4163 0.8780 0.2511  2 Tb 3.13-3.17, 2 Nd 3.15
12 Te 0.8891 0.6187 0.2374  1 Tb 3.05, 2 Nd 3.12
13 Tb 0.3336 0.2504 0.5008  6 Te 3.05-3.17


| no. | DOS(E_F) (states/eV/cell) | E_form (uncorrected) (eV/f.u.) |
| --- | --- | --- |
| 1 | 6.47 | -16.7 |
| 2 | 7.15 | -16.3 |